Record 1
A geometry-optimized CaPm3O structure. Source: Alexandria via LeMat-Bulk, functional GGA-PBE.

Results
Energy relative to the elements, uncorrected = -1.03 eV/atom

Geometry as POSCAR:
```
CaPm3O
1.0
5.108 0.000 0.000
0.000 5.108 0.000
0.000 0.000 5.108
Ca Pm O
1 3 1
Cartesian
0.000 0.000 0.000 Ca
0.000 2.554 2.554 Pm
2.554 0.000 2.554 Pm
2.554 2.554 0.000 Pm
2.554 2.554 2.554 O
```


Record 2
A geometry-optimized LiNiCl structure. Source: Alexandria via LeMat-Bulk, functional GGA-PBE.

Results
Energy relative to the elements, uncorrected = -0.72 eV/atom
Energy relative to the lowest polymorph listed for this composition = 0.0072 eV/atom

Geometry as POSCAR:
```
LiNiCl
1.0
2.273 -2.273 0.000
2.273 2.273 0.000
-0.014 0.000 9.183
Li Ni Cl
2 2 2
Cartesian
0.000 0.000 0.000 Li
2.268 0.000 3.294 Li
0.004 0.000 5.271 Ni
2.278 0.000 6.129 Ni
4.541 0.000 2.413 Cl
2.261 0.000 8.500 Cl
```


Record 3
A geometry-optimized TaBr structure. Source: Alexandria via LeMat-Bulk, functional GGA-PBE.

Results
Energy relative to the elements, uncorrected = -0.06 eV/atom

Geometry as POSCAR:
```
TaBr
1.0
11.206 0.000 0.000
0.000 11.206 0.000
0.000 0.000 3.286
Ta Br
8 8
Cartesian
0.509 7.770 0.000 Ta
0.929 1.709 1.643 Ta
1.709 10.277 1.643 Ta
3.436 0.509 0.000 Ta
7.770 10.698 0.000 Ta
9.497 0.929 1.643 Ta
10.277 9.497 1.643 Ta
10.698 3.436 0.000 Ta
1.515 5.089 0.000 Br
2.688 7.828 1.643 Br
3.378 2.688 1.643 Br
5.089 9.691 0.000 Br
6.117 1.515 0.000 Br
7.828 8.518 1.643 Br
8.518 3.378 1.643 Br
9.691 6.117 0.000 Br
```


Record 4
A geometry-optimized BeNb2Rh2 structure. Source: Alexandria via LeMat-Bulk, functional GGA-PBE.

Results
E_form = -84 meV per atom

Geometry as POSCAR:
```
BeNb2Rh2
1.0
7.142 0.000 0.000
0.000 7.142 0.000
0.000 0.000 3.181
Be Nb Rh
2 4 4
Cartesian
0.000 0.000 0.000 Be
3.571 3.571 0.000 Be
1.235 2.336 1.591 Nb
2.336 5.908 1.591 Nb
4.806 1.235 1.591 Nb
5.908 4.806 1.591 Nb
0.951 4.522 0.000 Rh
2.621 0.951 0.000 Rh
4.522 6.192 0.000 Rh
6.192 2.621 0.000 Rh
```


Record 5
A geometry-optimized PH2Br6 structure. Source: Alexandria via LeMat-Bulk, functional GGA-PBE.

Geometry as POSCAR:
```
PH2Br6
1.0
9.293 -6.409 0.000
9.293 6.409 0.000
-1.837 0.000 5.654
P H Br
2 4 12
Cartesian
7.916 3.365 4.241 P
8.834 -3.365 1.414 P
3.600 0.302 3.842 H
4.519 -0.302 1.015 H
12.231 0.302 4.640 H
13.150 -0.302 1.813 H
6.220 4.695 5.031 Br
3.237 1.223 4.923 Br
9.612 4.695 3.450 Br
7.108 2.022 2.569 Br
4.156 -1.223 2.096 Br
10.561 2.022 0.258 Br
6.189 -2.022 5.397 Br
12.594 1.223 3.558 Br
9.642 -2.022 3.085 Br
7.138 -4.695 2.204 Br
13.513 -1.223 0.731 Br
10.530 -4.695 0.623 Br
```


Number 1: total energy -26.38 eV/cell. Number 2: total energy -23.39 eV/cell. Number 3: total energy -109.19 eV/cell. Number 4: total energy -77.98 eV/cell. Number 5: total energy -48.41 eV/cell.